(1)
# LiFe3O2F6 PBE with a Hubbard U relaxed
data_LiFe3O2F6
_space_group_name_H-M_alt 'P 1'
_space_group_IT_number 1
_cell_length_a 5.170
_cell_length_b 7.128
_cell_length_c 7.539
_cell_angle_alpha 79.17
_cell_angle_beta 89.20
_cell_angle_gamma 89.79
loop_
_space_group_symop_operation_xyz
'x,y,z'
loop_
_atom_site_label
_atom_site_fract_x
_atom_site_fract_y
_atom_site_fract_z
Li1 0.210 0.157 0.163
Li2 0.790 0.843 0.837
Fe1 0.240 0.169 0.674
Fe2 0.260 0.683 0.681
Fe3 0.289 0.661 0.178
Fe4 0.711 0.339 0.822
Fe5 0.740 0.317 0.319
Fe6 0.760 0.831 0.326
O1 0.112 0.922 0.691
O2 0.401 0.423 0.701
O3 0.599 0.577 0.299
O4 0.888 0.078 0.309
F1 0.040 0.197 0.908
F2 0.084 0.427 0.193
F3 0.097 0.686 0.426
F4 0.408 0.200 0.430
F5 0.426 0.687 0.929
F6 0.427 0.921 0.191
F7 0.573 0.079 0.809
F8 0.574 0.313 0.071
F9 0.592 0.800 0.570
F10 0.903 0.314 0.574
F11 0.916 0.573 0.807
F12 0.960 0.803 0.092
# * V: 273 Å³/cell
# * total moment: 29.962 μB/cell
# * DOS at the Fermi energy: 0.00 states/eV/atom



(2)
# LiFe3O2F6 PBE with a Hubbard U relaxed
data_LiFe3O2F6
_space_group_name_H-M_alt 'P 1'
_space_group_IT_number 1
_cell_length_a 5.251
_cell_length_b 5.376
_cell_length_c 6.036
_cell_angle_alpha 71.28
_cell_angle_beta 87.98
_cell_angle_gamma 75.91
loop_
_space_group_symop_operation_xyz
'x,y,z'
loop_
_atom_site_label
_atom_site_fract_x
_atom_site_fract_y
_atom_site_fract_z
Li1 0.000 0.000 0.000
Fe1 0.277 0.499 0.870
Fe2 0.758 0.516 0.117
Fe3 0.772 0.560 0.620
O1 0.655 0.323 0.921
O2 0.907 0.724 0.829
F1 0.127 0.263 0.149
F2 0.135 0.302 0.695
F3 0.371 0.721 0.056
F4 0.397 0.744 0.582
F5 0.700 0.323 0.440
F6 0.851 0.758 0.288
# * V: 156 Å³/cell
# * total moment: 15.000 μB/cell
# * DOS at the Fermi energy: 0.00 states/eV/atom



Going by the energies, (1) is most stable and the next is 17 meV/atom up.



(1)
# LiFeOF PBE with a Hubbard U relaxed
data_LiFeOF
_space_group_name_H-M_alt 'P 1'
_space_group_IT_number 1
_cell_length_a 3.003
_cell_length_b 3.003
_cell_length_c 4.499
_cell_angle_alpha 90.00
_cell_angle_beta 90.00
_cell_angle_gamma 94.21
loop_
_space_group_symop_operation_xyz
'x,y,z'
loop_
_atom_site_label
_atom_site_fract_x
_atom_site_fract_y
_atom_site_fract_z
Li1 0.000 0.000 0.000
Fe1 0.500 0.500 0.500
O1 0.000 0.000 0.500
F1 0.500 0.500 0.000
# * V: 40 Å³/cell
# * total moment: 4.000 μB/cell
# * DOS at the Fermi energy: 0.00 states/eV/atom



(2)
# LiFeOF PBE with a Hubbard U relaxed
data_LiFeOF
_space_group_name_H-M_alt 'P 1'
_space_group_IT_number 1
_cell_length_a 4.495
_cell_length_b 3.536
_cell_length_c 3.536
_cell_angle_alpha 56.76
_cell_angle_beta 90.00
_cell_angle_gamma 90.00
loop_
_space_group_symop_operation_xyz
'x,y,z'
loop_
_atom_site_label
_atom_site_fract_x
_atom_site_fract_y
_atom_site_fract_z
Li1 0.000 0.000 0.000
Fe1 0.500 0.679 0.679
O1 0.500 0.993 0.993
F1 0.000 0.673 0.673
# * V: 47 Å³/cell
# * total moment: 3.982 μB/cell
# * DOS at the Fermi energy: 0.00 states/eV/atom



Going by the energies, (1) is most stable and the next is 15 meV/atom up.



(1)
# Li3Fe4O3F9 PBE with a Hubbard U relaxed
data_Li3Fe4O3F9
_space_group_name_H-M_alt 'P 1'
_space_group_IT_number 1
_cell_length_a 5.886
_cell_length_b 5.999
_cell_length_c 6.134
_cell_angle_alpha 99.73
_cell_angle_beta 99.93
_cell_angle_gamma 99.79
loop_
_space_group_symop_operation_xyz
'x,y,z'
loop_
_atom_site_label
_atom_site_fract_x
_atom_site_fract_y
_atom_site_fract_z
Li1 0.000 0.000 0.000
Li2 0.148 0.324 0.599
Li3 0.387 0.937 0.699
Fe1 0.280 0.671 0.210
Fe2 0.535 0.191 0.277
Fe3 0.745 0.484 0.950
Fe4 0.797 0.739 0.446
O1 0.534 0.498 0.181
O2 0.558 0.924 0.399
O3 0.955 0.731 0.192
F1 0.040 0.993 0.642
F2 0.075 0.440 0.912
F3 0.212 0.195 0.295
F4 0.254 0.625 0.516
F5 0.327 0.903 0.999
F6 0.480 0.284 0.728
F7 0.721 0.730 0.772
F8 0.756 0.175 0.059
F9 0.817 0.401 0.495
# * V: 206 Å³/cell
# * total moment: 9.999 μB/cell
# * DOS at the Fermi energy: 0.00 states/eV/atom



(2)
# Li3Fe4O3F9 PBE with a Hubbard U relaxed
data_Li3Fe4O3F9
_space_group_name_H-M_alt 'P 1'
_space_group_IT_number 1
_cell_length_a 5.689
_cell_length_b 6.024
_cell_length_c 6.060
_cell_angle_alpha 100.10
_cell_angle_beta 99.46
_cell_angle_gamma 97.28
loop_
_space_group_symop_operation_xyz
'x,y,z'
loop_
_atom_site_label
_atom_site_fract_x
_atom_site_fract_y
_atom_site_fract_z
Li1 0.000 0.000 0.000
Li2 0.190 0.281 0.658
Li3 0.452 0.847 0.740
Fe1 0.314 0.580 0.236
Fe2 0.591 0.159 0.332
Fe3 0.745 0.482 0.965
Fe4 0.878 0.766 0.452
O1 0.009 0.722 0.165
O2 0.535 0.856 0.392
O3 0.661 0.465 0.275
F1 0.148 0.949 0.712
F2 0.178 0.551 0.512
F3 0.271 0.208 0.220
F4 0.412 0.588 0.935
F5 0.547 0.272 0.652
F6 0.639 0.062 0.022
F7 0.766 0.701 0.743
F8 0.913 0.118 0.429
F9 0.999 0.319 0.902
# * V: 199 Å³/cell
# * total moment: 15.999 μB/cell
# * DOS at the Fermi energy: 0.00 states/eV/atom



Going by the energies, (1) is most stable and the next is 117 meV/atom up.